(1)
# MnMo2Au PBE relaxed
data_MnMo2Au
_chemical_formula_sum 'Mn1 Mo2 Au1'
_symmetry_space_group_name_H-M 'P 1'
_symmetry_Int_Tables_number 1
_symmetry_space_group_name_Hall 'P 1'
_cell_length_a 3.246
_cell_length_b 3.246
_cell_length_c 6.027
_cell_angle_alpha 90.00
_cell_angle_beta 90.00
_cell_angle_gamma 90.00
loop_
_atom_site_label
_atom_site_type_symbol
_atom_site_fract_x
_atom_site_fract_y
_atom_site_fract_z
Au1 Au 0.000 0.000 0.516
Mo1 Mo 0.500 0.500 0.227
Mo2 Mo 0.000 0.000 0.000
Mn1 Mn 0.500 0.500 0.757
# **Total magnetization**: 3.336 μB per formula unit
# **Space group**: P4mm
# **Energy relative to the elements**: 0.17 eV/atom
# **Relative energy among the computed polymorphs**: 0 meV per atom

***

(2)
# ErTm5In2Bi PBE relaxed
data_ErTm5In2Bi
_chemical_formula_sum 'Er2 Tm10 In4 Bi2'
_symmetry_space_group_name_H-M 'P 1'
_symmetry_Int_Tables_number 1
_symmetry_space_group_name_Hall 'P 1'
_cell_length_a 8.557
_cell_length_b 8.557
_cell_length_c 9.252
_cell_angle_alpha 117.54
_cell_angle_beta 117.54
_cell_angle_gamma 90.00
loop_
_atom_site_label
_atom_site_type_symbol
_atom_site_fract_x
_atom_site_fract_y
_atom_site_fract_z
Tm1 Tm 0.424 0.339 0.263
Tm2 Tm 0.076 0.576 0.737
Tm3 Tm 0.000 0.000 0.000
Tm4 Tm 0.924 0.424 0.263
Tm5 Tm 0.339 0.839 0.263
Tm6 Tm 0.161 0.076 0.737
Tm7 Tm 0.500 0.500 0.000
Tm8 Tm 0.576 0.661 0.737
Tm9 Tm 0.839 0.924 0.263
Tm10 Tm 0.661 0.161 0.737
Bi1 Bi 0.750 0.750 0.500
Bi2 Bi 0.250 0.250 0.500
In1 In 0.389 0.889 0.000
In2 In 0.611 0.111 0.000
In3 In 0.889 0.611 0.000
In4 In 0.111 0.389 0.000
Er1 Er 0.250 0.750 0.500
Er2 Er 0.750 0.250 0.500
# **Total magnetization**: 0.020 μB per formula unit
# **Space group**: I4/mcm
# **Energy relative to the elements**: -0.05 eV/atom

***

Among the records above, which one has the highest energy relative to the elements?
MnMo2Au